[1]
Zn2PdBr | the Alexandria database | PBE | optimized geometry; ΔE_f (raw) = 0.314 eV per atom; space group = Fm-3m, No. 225
1.0
0.0000 3.3285 3.3285
3.3285 0.0000 3.3285
3.3285 3.3285 0.0000
Zn Pd Br
2 1 1
direct
0.2500 0.2500 0.2500
0.7500 0.7500 0.7500
0.0000 0.0000 0.0000
0.5000 0.5000 0.5000

[2]
CuHg2Mo | the Alexandria database | PBE | optimized geometry; energy of formation = 1.6 eV per formula unit; space group = P4mm, No. 99
1.0
2.8567 0.0000 0.0000
0.0000 2.8567 0.0000
0.0000 0.0000 8.8674
Cu Hg Mo
1 2 1
direct
0.0000 0.0000 0.0000
0.0000 0.0000 0.5438
0.5000 0.5000 0.2321
0.5000 0.5000 0.7972

[3]
Pr3Zn3Ga8 | the Alexandria database | PBE | optimized geometry; energy of formation = -6.6 eV per formula unit; space group = Immm, No. 71
1.0
-2.1582 5.0641 6.3974
2.1582 -5.0641 6.3974
2.1582 5.0641 -6.3974
Pr Zn Ga
3 3 8
direct
0.0000 0.0000 0.0000
0.3166 0.3166 0.0000
0.6834 0.6834 0.0000
0.2877 0.5000 0.7877
0.5000 0.0000 0.5000
0.7123 0.5000 0.2123
0.0316 0.6611 0.3705
0.1387 0.8616 0.2771
0.2906 0.6611 0.6295
0.4155 0.1384 0.2771
0.5845 0.8616 0.7229
0.7094 0.3389 0.3705
0.8613 0.1384 0.7229
0.9684 0.3389 0.6295

[4]
V2InCl2 | the Alexandria database | PBE | optimized geometry; ΔE_f (raw) = 0.267 eV per atom; space group = P4/mbm, No. 127
1.0
8.1933 0.0000 0.0000
0.0000 8.1933 0.0000
0.0000 0.0000 3.1423
V In Cl
4 2 4
direct
0.0843 0.4157 0.0000
0.4157 0.9157 0.0000
0.5843 0.0843 0.0000
0.9157 0.5843 0.0000
0.0000 0.0000 0.0000
0.5000 0.5000 0.0000
0.1497 0.6497 0.5000
0.3503 0.1497 0.5000
0.6497 0.8503 0.5000
0.8503 0.3503 0.5000

[5]
PaCdIrRh | the Alexandria database | PBE | optimized geometry; energy of formation = -2.0 eV per formula unit; space group = F-43m, No. 216
1.0
0.0000 3.3650 3.3650
3.3650 0.0000 3.3650
3.3650 3.3650 0.0000
Pa Cd Ir Rh
1 1 1 1
direct
0.0000 0.0000 0.0000
0.5000 0.5000 0.5000
0.2500 0.2500 0.2500
0.7500 0.7500 0.7500

[6]
TlFeAgCl4 | the Alexandria database | PBE | optimized geometry; ΔE_f (raw) = -0.696 eV per atom; space group = P2_1/m, No. 11
1.0
6.3791 0.0000 0.0000
0.0000 7.3681 0.0000
-2.1986 0.0000 8.3540
Tl Fe Ag Cl
2 2 2 8
direct
0.2463 0.2500 0.0582
0.7537 0.7500 0.9418
0.2244 0.7500 0.3151
0.7756 0.2500 0.6849
0.1535 0.2500 0.5167
0.8465 0.7500 0.4833
0.0221 0.0106 0.7170
0.0221 0.4894 0.7170
0.3489 0.7500 0.0909
0.4775 0.7500 0.5541
0.5225 0.2500 0.4459
0.6511 0.2500 0.9091
0.9779 0.5106 0.2830
0.9779 0.9894 0.2830

[7]
Pr3ThSe6 | the Alexandria database | PBE | optimized geometry; ΔE_f (raw) = -1.822 eV per atom; space group = P2_1/m, No. 11
1.0
11.9231 0.0000 0.0000
0.0000 4.2187 0.0000
-3.7466 0.0000 11.6313
Pr Th Se
6 2 12
direct
0.0804 0.2500 0.1668
0.1795 0.7500 0.5040
0.3390 0.2500 0.9235
0.6610 0.7500 0.0765
0.8205 0.2500 0.4960
0.9196 0.7500 0.8332
0.4561 0.2500 0.3075
0.5439 0.7500 0.6925
0.0181 0.2500 0.3816
0.0979 0.2500 0.9294
0.2571 0.7500 0.2830
0.3157 0.7500 0.7493
0.3907 0.2500 0.5364
0.4188 0.7500 0.1058
0.5812 0.2500 0.8942
0.6093 0.7500 0.4636
0.6843 0.2500 0.2507
0.7429 0.2500 0.7170
0.9021 0.7500 0.0706
0.9819 0.7500 0.6184

[8]
ErPuSc2 | the Alexandria database | PBE | optimized geometry; energy of formation = 0.4 eV per formula unit; space group = P4/mmm, No. 123
1.0
3.3621 0.0000 0.0000
0.0000 3.3621 0.0000
0.0000 0.0000 9.2836
Er Pu Sc
1 1 2
direct
0.0000 0.0000 0.0000
0.0000 0.0000 0.5000
0.5000 0.5000 0.2590
0.5000 0.5000 0.7410